# Cs2PdBr2F2

An optimized crystal structure of Cs2PdBr2F2 (PBE, OQMD).

## Properties
The calculation puts the total energy at -3.6504 eV/atom. Its crystal system is orthorhombic.

The structure in CIF format:
```
data_Cs2PdBr2F2
_cell_length_a 8.264
_cell_length_b 11.318
_cell_length_c 4.228
_cell_angle_alpha 90.00
_cell_angle_beta 90.00
_cell_angle_gamma 90.00
_symmetry_space_group_name_H-M 'C m m m'
_symmetry_Int_Tables_number 65
_symmetry_space_group_name_Hall '-C 2 2'
loop_
_atom_site_label
_atom_site_type_symbol
_atom_site_fract_x
_atom_site_fract_y
_atom_site_fract_z
Cs1 Cs 0.250 0.250 0.000
Pd1 Pd 0.000 0.000 0.500
Br1 Br 0.203 0.500 0.500
F1 F 0.000 0.178 0.500
```


# Sm2PIF

An optimized crystal structure of Sm2PIF (PBE, OQMD).

## Properties
The calculation puts the total energy at -5.7439 eV/atom. Its crystal system is trigonal.

The structure in CIF format:
```
data_Sm2PIF
_cell_length_a 4.0154
_cell_length_b 4.0154
_cell_length_c 8.9369
_cell_angle_alpha 90.00
_cell_angle_beta 90.00
_cell_angle_gamma 120.00
_symmetry_space_group_name_H-M 'P 3 m 1'
_symmetry_Int_Tables_number 156
_symmetry_space_group_name_Hall 'P 3 -2"'
loop_
_atom_site_label
_atom_site_type_symbol
_atom_site_fract_x
_atom_site_fract_y
_atom_site_fract_z
Sm1 Sm 0.0000 0.0000 0.0000
Sm2 Sm 0.3333 0.6667 0.6410
P1 P 0.6667 0.3333 0.8227
I1 I 0.3333 0.6667 0.2440
F1 F 0.0000 0.0000 0.5422
```


# Nb2Sn2C3S

An optimized crystal structure of Nb2Sn2C3S (PBE, OQMD).

## Properties
The calculation puts the total energy at -7.1949 eV/atom. Its crystal system is trigonal.

The structure in CIF format:
```
data_Nb2Sn2C3S
_cell_length_a 3.4008
_cell_length_b 3.4008
_cell_length_c 14.5233
_cell_angle_alpha 90.00
_cell_angle_beta 90.00
_cell_angle_gamma 120.00
_symmetry_space_group_name_H-M 'P 3 m 1'
_symmetry_Int_Tables_number 156
_symmetry_space_group_name_Hall 'P 3 -2"'
loop_
_atom_site_label
_atom_site_type_symbol
_atom_site_fract_x
_atom_site_fract_y
_atom_site_fract_z
Nb1 Nb 0.0000 0.0000 0.0000
Nb2 Nb 0.3333 0.6667 0.4601
Sn1 Sn 0.6667 0.3333 0.2192
Sn2 Sn 0.6667 0.3333 0.6778
C1 C 0.6667 0.3333 0.0612
C2 C 0.6667 0.3333 0.4077
C3 C 0.6667 0.3333 0.5195
S1 S 0.6667 0.3333 0.8860
```


# Tm3Mg3HgIr2

An optimized crystal structure of Tm3Mg3HgIr2 (PBE, OQMD).

## Properties
The calculation puts the total energy at -4.5771 eV/atom. Its crystal system is hexagonal.

The structure in CIF format:
```
data_Tm3Mg3HgIr2
_cell_length_a 7.3478
_cell_length_b 7.3478
_cell_length_c 4.0803
_cell_angle_alpha 90.00
_cell_angle_beta 90.00
_cell_angle_gamma 120.00
_symmetry_space_group_name_H-M 'P -6 2 m'
_symmetry_Int_Tables_number 189
_symmetry_space_group_name_Hall 'P -6 -2'
loop_
_atom_site_label
_atom_site_type_symbol
_atom_site_fract_x
_atom_site_fract_y
_atom_site_fract_z
Tm1 Tm 0.0000 0.4220 0.0000
Mg1 Mg 0.0000 0.7408 0.5000
Hg1 Hg 0.0000 0.0000 0.0000
Ir1 Ir 0.3333 0.6667 0.5000
```


# PrNiB

An optimized crystal structure of PrNiB (PBE, OQMD).

## Properties
For the relative energy among the computed polymorphs, the calculation gives 2.33 eV/f.u. Its crystal system is cubic.

The structure in CIF format:
```
data_PrNiB
_cell_length_a 6.002
_cell_length_b 6.002
_cell_length_c 6.002
_cell_angle_alpha 90.00
_cell_angle_beta 90.00
_cell_angle_gamma 90.00
_symmetry_space_group_name_H-M 'F -4 3 m'
_symmetry_Int_Tables_number 216
_symmetry_space_group_name_Hall 'F -4 2 3'
loop_
_atom_site_label
_atom_site_type_symbol
_atom_site_fract_x
_atom_site_fract_y
_atom_site_fract_z
Pr1 Pr 0.000 0.000 0.000
Ni1 Ni 0.250 0.250 0.750
B1 B 0.000 0.000 0.500
```


# Gd3Tl3Pb4

An optimized crystal structure of Gd3Tl3Pb4 (PBE, OQMD).

## Properties
For the relative energy among the computed polymorphs, the calculation gives 0.01 eV/f.u. Its crystal system is orthorhombic.

The structure in CIF format:
```
data_Gd3Tl3Pb4
_cell_length_a 4.712
_cell_length_b 25.698
_cell_length_c 4.658
_cell_angle_alpha 90.00
_cell_angle_beta 90.00
_cell_angle_gamma 90.00
_symmetry_space_group_name_H-M 'C m m m'
_symmetry_Int_Tables_number 65
_symmetry_space_group_name_Hall '-C 2 2'
loop_
_atom_site_label
_atom_site_type_symbol
_atom_site_fract_x
_atom_site_fract_y
_atom_site_fract_z
Gd1 Gd 0.000 0.000 0.000
Gd2 Gd 0.000 0.189 0.000
Tl1 Tl 0.000 0.404 0.000
Tl2 Tl 0.000 0.500 0.500
Pb1 Pb 0.000 0.097 0.500
Pb2 Pb 0.000 0.294 0.500
```